1.
The following is a DFT calculation (PBE-GGA) of a relaxed FeCuP2 crystal.

```
data_FeCuP2
_chemical_formula_sum 'Fe2 Cu2 P4'
_cell_length_a 3.491
_cell_length_b 3.491
_cell_length_c 8.224
_cell_angle_alpha 90.00
_cell_angle_beta 90.00
_cell_angle_gamma 90.00
_symmetry_space_group_name_H-M 'I -4 m 2'
_symmetry_Int_Tables_number 119
_symmetry_space_group_name_Hall 'I -4 -2'
loop_
_atom_site_label
_atom_site_type_symbol
_atom_site_fract_x
_atom_site_fract_y
_atom_site_fract_z
_atom_site_occupancy
Fe1 Fe 0.000 0.000 0.000 1
Cu1 Cu 0.000 0.500 0.250 1
P1 P 0.000 0.000 0.500 1
P2 P 0.000 0.500 0.750 1
```

Results
The value obtained for the formation energy from the elements is 0.25 eV per atom.


2.
The following is a DFT calculation (PBE-GGA) of a relaxed Nd3Cu2Pd9Pt crystal.

```
data_Nd3Cu2Pd9Pt
_chemical_formula_sum 'Nd3 Cu2 Pd9 Pt1'
_cell_length_a 5.6203
_cell_length_b 5.6203
_cell_length_c 11.8609
_cell_angle_alpha 90.00
_cell_angle_beta 90.00
_cell_angle_gamma 120.00
_symmetry_space_group_name_H-M 'P -3 m 1'
_symmetry_Int_Tables_number 164
_symmetry_space_group_name_Hall '-P 3 2"'
loop_
_atom_site_label
_atom_site_type_symbol
_atom_site_fract_x
_atom_site_fract_y
_atom_site_fract_z
_atom_site_occupancy
Nd1 Nd 0.0000 0.0000 0.0000 1
Nd2 Nd 0.3333 0.6667 0.5751 1
Cu1 Cu 0.3333 0.6667 0.1613 1
Pd1 Pd 0.0000 0.5000 0.0000 1
Pd2 Pd 0.1680 0.3360 0.3237 1
Pt1 Pt 0.0000 0.0000 0.5000 1
```

Results
The value obtained for the formation energy from the elements is -0.33 eV per atom.


3.
The following is a DFT calculation (PBE-GGA) of a relaxed MnInW2 crystal.

```
data_MnInW2
_chemical_formula_sum 'Mn2 In2 W4'
_cell_length_a 5.443
_cell_length_b 9.156
_cell_length_c 2.759
_cell_angle_alpha 90.00
_cell_angle_beta 107.84
_cell_angle_gamma 90.00
_symmetry_space_group_name_H-M 'C 1 2/m 1'
_symmetry_Int_Tables_number 12
loop_
_symmetry_equiv_pos_as_xyz
'x,y,z'
'-x,-y,-z'
'-x,y,-z'
'x,-y,z'
'x+1/2,y+1/2,z'
'-x+1/2,-y+1/2,-z'
'-x+1/2,y+1/2,-z'
'x+1/2,-y+1/2,z'
loop_
_atom_site_label
_atom_site_type_symbol
_atom_site_fract_x
_atom_site_fract_y
_atom_site_fract_z
_atom_site_occupancy
Mn1 Mn 0.000 0.000 0.000 1
In1 In 0.000 0.500 0.000 1
W1 W 0.250 0.250 0.500 1
```

Results
The value obtained for the formation energy from the elements is 0.49 eV per atom.


4.
The following is a DFT calculation (PBE-GGA) of a relaxed Li2TaFe crystal.

```
data_Li2TaFe
_chemical_formula_sum 'Li4 Ta2 Fe2'
_cell_length_a 4.917
_cell_length_b 4.305
_cell_length_c 5.611
_cell_angle_alpha 90.00
_cell_angle_beta 100.41
_cell_angle_gamma 90.00
_symmetry_space_group_name_H-M 'P 1 21/m 1'
_symmetry_Int_Tables_number 11
loop_
_symmetry_equiv_pos_as_xyz
'x,y,z'
'-x,-y,-z'
'-x,y+1/2,-z'
'x,-y+1/2,z'
loop_
_atom_site_label
_atom_site_type_symbol
_atom_site_fract_x
_atom_site_fract_y
_atom_site_fract_z
_atom_site_occupancy
Li1 Li 0.067 0.250 0.356 1
Li2 Li 0.419 0.750 0.585 1
Ta1 Ta 0.303 0.250 0.915 1
Fe1 Fe 0.208 0.750 0.103 1
```

Results
The value obtained for the formation energy from the elements is 0.19 eV per atom.


5.
The following is a DFT calculation (PBE-GGA) of a relaxed AcNd6Sm3 crystal.

```
data_AcNd6Sm3
_chemical_formula_sum 'Ac4 Nd24 Sm12'
_cell_length_a 13.713
_cell_length_b 14.878
_cell_length_c 7.146
_cell_angle_alpha 90.00
_cell_angle_beta 90.00
_cell_angle_gamma 90.00
_symmetry_space_group_name_H-M 'C m c 21'
_symmetry_Int_Tables_number 36
loop_
_symmetry_equiv_pos_as_xyz
'x,y,z'
'-x,-y,z+1/2'
'-x,y,z'
'x,-y,z+1/2'
'x+1/2,y+1/2,z'
'-x+1/2,-y+1/2,z+1/2'
'-x+1/2,y+1/2,z'
'x+1/2,-y+1/2,z+1/2'
loop_
_atom_site_label
_atom_site_type_symbol
_atom_site_fract_x
_atom_site_fract_y
_atom_site_fract_z
_atom_site_occupancy
Ac1 Ac 0.000 0.197 0.000 1
Nd1 Nd 0.000 0.005 0.270 1
Nd2 Nd 0.000 0.207 0.507 1
Nd3 Nd 0.116 0.389 0.313 1
Nd4 Nd 0.233 0.290 0.721 1
Sm1 Sm 0.000 0.410 0.786 1
Sm2 Sm 0.214 0.026 0.525 1
```

Results
The value obtained for the formation energy from the elements is 0.20 eV per atom.


6.
The following is a DFT calculation (PBE-GGA) of a relaxed LaGdTe2 crystal.

```
data_LaGdTe2
_chemical_formula_sum 'La1 Gd1 Te2'
_cell_length_a 5.492
_cell_length_b 5.492
_cell_length_c 3.885
_cell_angle_alpha 90.00
_cell_angle_beta 90.00
_cell_angle_gamma 90.00
_symmetry_space_group_name_H-M 'P 4/m m m'
_symmetry_Int_Tables_number 123
_symmetry_space_group_name_Hall '-P 4 2'
loop_
_atom_site_label
_atom_site_type_symbol
_atom_site_fract_x
_atom_site_fract_y
_atom_site_fract_z
_atom_site_occupancy
La1 La 0.000 0.000 0.000 1
Gd1 Gd 0.500 0.500 0.000 1
Te1 Te 0.000 0.500 0.500 1
```

Results
For the formation energy from raw total energies, the calculation gives -1.37 eV per atom.


7.
The following is a DFT calculation (PBE-GGA) of a relaxed Y2TlAgRu crystal.

```
data_Y2TlAgRu
_chemical_formula_sum 'Y2 Tl1 Ag1 Ru1'
_cell_length_a 5.195
_cell_length_b 5.195
_cell_length_c 5.245
_cell_angle_alpha 90.00
_cell_angle_beta 90.00
_cell_angle_gamma 90.00
_symmetry_space_group_name_H-M 'P 4/m m m'
_symmetry_Int_Tables_number 123
_symmetry_space_group_name_Hall '-P 4 2'
loop_
_atom_site_label
_atom_site_type_symbol
_atom_site_fract_x
_atom_site_fract_y
_atom_site_fract_z
_atom_site_occupancy
Y1 Y 0.000 0.500 0.000 1
Tl1 Tl 0.000 0.000 0.500 1
Ag1 Ag 0.500 0.500 0.500 1
Ru1 Ru 0.500 0.500 0.000 1
```

Results
The value obtained for the formation energy from the elements is 0.09 eV per atom.


8.
The following is a DFT calculation (PBE-GGA) of a relaxed Pr2SmScAs4 crystal.

```
data_Pr2SmScAs4
_chemical_formula_sum 'Pr2 Sm1 Sc1 As4'
_cell_length_a 7.240
_cell_length_b 4.194
_cell_length_c 7.248
_cell_angle_alpha 90.00
_cell_angle_beta 109.51
_cell_angle_gamma 90.00
_symmetry_space_group_name_H-M 'P 1 2/m 1'
_symmetry_Int_Tables_number 10
loop_
_symmetry_equiv_pos_as_xyz
'x,y,z'
'-x,-y,-z'
'-x,y,-z'
'x,-y,z'
loop_
_atom_site_label
_atom_site_type_symbol
_atom_site_fract_x
_atom_site_fract_y
_atom_site_fract_z
_atom_site_occupancy
Pr1 Pr 0.000 0.000 0.000 1
Pr2 Pr 0.000 0.500 0.500 1
Sm1 Sm 0.500 0.000 0.500 1
Sc1 Sc 0.500 0.500 0.000 1
As1 As 0.262 0.500 0.245 1
As2 As 0.269 0.000 0.765 1
```

Results
The value obtained for the formation energy from the elements is -1.44 eV per atom.


9.
The following is a DFT calculation (PBE-GGA) of a relaxed CeThPSe crystal.

```
data_CeThPSe
_chemical_formula_sum 'Ce3 Th3 P3 Se3'
_cell_length_a 4.1472
_cell_length_b 4.1472
_cell_length_c 20.5642
_cell_angle_alpha 90.00
_cell_angle_beta 90.00
_cell_angle_gamma 120.00
_symmetry_space_group_name_H-M 'R 3 m'
_symmetry_Int_Tables_number 160
_symmetry_space_group_name_Hall 'R 3 -2"'
loop_
_atom_site_label
_atom_site_type_symbol
_atom_site_fract_x
_atom_site_fract_y
_atom_site_fract_z
_atom_site_occupancy
Ce1 Ce 0.0000 0.0000 0.0000 1
Th1 Th 0.0000 0.0000 0.5122 1
P1 P 0.0000 0.0000 0.2567 1
Se1 Se 0.0000 0.0000 0.7552 1
```

Results
For the formation energy from raw total energies, the calculation gives -1.66 eV per atom.


10.
The following is a DFT calculation (PBE-GGA) of a relaxed Ac2NbN3 crystal.

```
data_Ac2NbN3
_chemical_formula_sum 'Ac16 Nb8 N24'
_cell_length_a 5.740
_cell_length_b 11.719
_cell_length_c 12.981
_cell_angle_alpha 90.00
_cell_angle_beta 94.61
_cell_angle_gamma 90.00
_symmetry_space_group_name_H-M 'C 1 2/c 1'
_symmetry_Int_Tables_number 15
loop_
_symmetry_equiv_pos_as_xyz
'x,y,z'
'-x,-y,-z'
'-x,y,-z+1/2'
'x,-y,z+1/2'
'x+1/2,y+1/2,z'
'-x+1/2,-y+1/2,-z'
'-x+1/2,y+1/2,-z+1/2'
'x+1/2,-y+1/2,z+1/2'
loop_
_atom_site_label
_atom_site_type_symbol
_atom_site_fract_x
_atom_site_fract_y
_atom_site_fract_z
_atom_site_occupancy
Ac1 Ac 0.218 0.199 0.358 1
Ac2 Ac 0.233 0.111 0.925 1
Nb1 Nb 0.207 0.498 0.827 1
N1 N 0.000 0.003 0.250 1
N2 N 0.000 0.364 0.250 1
N3 N 0.202 0.334 0.879 1
N4 N 0.243 0.097 0.545 1
```

Results
For the formation energy from raw total energies, the calculation gives -1.11 eV per atom.


The records above give, respectively, N(E_F) values of 7.79, 5.94, 6.58, 3.92, 63.23, 5.32, 3.23, 0.63, 18.31, 12.06 states/eV per cell.
The records above give, respectively, total energy values of -0.4113, -0.3932, -0.6588, -0.4297, -0.3296, -0.5655, -0.3962, -0.4658, -0.5310, -0.6113 Ry per atom.